Record 1
# LiLa2Zn5 | Alexandria via LeMat-Bulk | PBE | relaxed
# E_tot	-2.508	eV/atom
# theoretical density	5.9	g/cm³
# V	21.49	Å³/atom
data_LiLa2Zn5
_chemical_formula_sum 'Li4 La8 Zn20'
_cell_length_a 4.489
_cell_length_b 16.598
_cell_length_c 9.228
_cell_angle_alpha 90.00
_cell_angle_beta 90.00
_cell_angle_gamma 90.00
_space_group_name_H-M_alt 'C m c m'
_space_group_IT_number 63
_space_group_name_Hall '-C 2c 2'
loop_
_atom_site_label
_atom_site_fract_x
_atom_site_fract_y
_atom_site_fract_z
_atom_site_occupancy
Li1 0.000 0.058 0.250 1
La1 0.000 0.296 0.750 1
La2 0.000 0.500 0.000 1
Zn1 0.000 0.098 0.750 1
Zn2 0.000 0.151 0.018 1
Zn3 0.000 0.315 0.108 1



Record 2
# CdGa2As2 | Alexandria via LeMat-Bulk | PBE | relaxed
# theoretical density	6.4	g/cm³
# distance to the lowest polymorph of the same formula	0.393	eV per formula unit
# V	20.74	Å³/atom
data_CdGa2As2
_chemical_formula_sum 'Cd2 Ga4 As4'
_cell_length_a 7.978
_cell_length_b 7.978
_cell_length_c 3.259
_cell_angle_alpha 90.00
_cell_angle_beta 90.00
_cell_angle_gamma 90.00
_space_group_name_H-M_alt 'P 4/m b m'
_space_group_IT_number 127
_space_group_name_Hall '-P 4 2ab'
loop_
_atom_site_label
_atom_site_fract_x
_atom_site_fract_y
_atom_site_fract_z
_atom_site_occupancy
Cd1 0.000 0.000 0.000 1
Ga1 0.139 0.361 0.500 1
As1 0.161 0.661 0.000 1



Record 3
# Pm4Te2OsBr | Alexandria via LeMat-Bulk | PBE | relaxed
# theoretical density	7.6	g/cm³
# raw formation energy	-96.02	kJ per mole of atoms
# V	30.05	Å³/atom
data_Pm4Te2OsBr
_chemical_formula_sum 'Pm4 Te2 Os1 Br1'
_cell_length_a 7.676
_cell_length_b 4.250
_cell_length_c 7.712
_cell_angle_alpha 90.00
_cell_angle_beta 107.17
_cell_angle_gamma 90.00
_space_group_name_H-M_alt 'P 1 2/m 1'
_space_group_IT_number 10
loop_
_space_group_symop_operation_xyz
'x,y,z'
'-x,-y,-z'
'-x,y,-z'
'x,-y,z'
loop_
_atom_site_label
_atom_site_fract_x
_atom_site_fract_y
_atom_site_fract_z
_atom_site_occupancy
Pm1 0.211 0.000 0.211 1
Pm2 0.222 0.500 0.771 1
Te1 0.000 0.000 0.500 1
Te2 0.500 0.500 0.500 1
Os1 0.000 0.500 0.000 1
Br1 0.500 0.000 0.000 1



Record 4
# TbNd2Dy6Y3 | Alexandria via LeMat-Bulk | PBE | relaxed
# E_tot	-5.080	eV/atom
# theoretical density	7.2	g/cm³
# V	32.28	Å³/atom
data_TbNd2Dy6Y3
_chemical_formula_sum 'Tb2 Nd4 Dy12 Y6'
_cell_length_a 6.195
_cell_length_b 10.721
_cell_length_c 11.844
_cell_angle_alpha 90.00
_cell_angle_beta 99.99
_cell_angle_gamma 90.00
_space_group_name_H-M_alt 'C 1 2/m 1'
_space_group_IT_number 12
loop_
_space_group_symop_operation_xyz
'x,y,z'
'-x,-y,-z'
'-x,y,-z'
'x,-y,z'
'x+1/2,y+1/2,z'
'-x+1/2,-y+1/2,-z'
'-x+1/2,y+1/2,-z'
'x+1/2,-y+1/2,z'
loop_
_atom_site_label
_atom_site_fract_x
_atom_site_fract_y
_atom_site_fract_z
_atom_site_occupancy
Tb1 0.000 0.000 0.000 1
Nd1 0.000 0.333 0.000 1
Dy1 0.248 0.000 0.748 1
Dy2 0.249 0.334 0.748 1
Y1 0.000 0.166 0.500 1
Y2 0.000 0.500 0.500 1